The following is a PBE calculation of a geometry-optimized Ca2Cd3 structure, from the Alexandria database.

Output
As for the density of states at the Fermi level: 2.7 states/eV/f.u. Its formation energy is -26.39 kJ per mole of atoms. As for the total energy: -1.62 eV per atom.

a b c (Å): 6.7716 6.7716 6.7716
angles (deg): 44.59 44.59 44.59
With the nearest neighbours (Å) after each atom.
Fractional coordinates of all 5 atoms:
Ca1 0.0960 0.0960 0.0960  9 Cd 3.23-3.50, 1 Ca 3.51
Ca2 0.9040 0.9040 0.9040  9 Cd 3.23-3.50, 1 Ca 3.51
Cd1 0.3278 0.3278 0.3278  4 Cd 2.97-3.15
Cd2 0.5000 0.5000 0.5000  2 Cd 3.15, 6 Ca 3.23
Cd3 0.6722 0.6722 0.6722  4 Cd 2.97-3.15

***

The following is a PBE calculation of a geometry-optimized Ho2MgGa3Pt4 structure, from the Alexandria database.

Output
As for the density of states at the Fermi level: 4.6 states/eV/f.u. Its formation energy is -91.29 kJ per mole of atoms. As for the total energy: -5.35 eV per atom.

a b c (Å): 4.0421 4.0421 11.5183
angles (deg): 90.00 90.00 90.00
With the nearest neighbours (Å) after each atom.
Fractional coordinates of all 10 atoms:
Ho1 0.0000 0.5000 0.2416  8 Pt 3.11-3.44, 4 Ga 3.12
Ho2 0.5000 0.0000 0.7584  8 Pt 3.11-3.44, 4 Ga 3.12
Mg1 0.0000 0.0000 0.5000  4 Pt 2.67, 4 Ga 2.86
Ga1 0.0000 0.5000 0.8678  5 Pt 2.49-2.53
Ga2 0.5000 0.0000 0.1322  5 Pt 2.49-2.53
Ga3 0.5000 0.5000 0.5000  4 Pt 2.67, 4 Mg 2.86
Pt1 0.0000 0.0000 0.0000  4 Ga 2.53
Pt2 0.0000 0.5000 0.6521  3 Ga 2.49-2.67, 2 Mg 2.67
Pt3 0.5000 0.0000 0.3479  3 Ga 2.49-2.67, 2 Mg 2.67
Pt4 0.5000 0.5000 0.0000  4 Ga 2.53

***

The following is a PBE calculation of a geometry-optimized HfGa3N structure, from the Alexandria database.

Output
As for the density of states at the Fermi level: 6.5 states/eV/f.u. As for the total energy: -3.69 eV per atom. As for the energy above the most stable polymorph in this dataset: 1372 meV per atom. The value obtained for the uncorrected formation energy is 8.93 eV per formula unit.

a b c (Å): 5.2271 5.2271 5.2271
angles (deg): 90.00 90.00 90.00
With the nearest neighbours (Å) after each atom.
Fractional coordinates of all 5 atoms:
Hf1 0.0000 0.0000 0.0000  6 Ga 2.61
Ga1 0.0000 0.0000 0.5000  2 Hf 2.61
Ga2 0.0000 0.5000 0.0000  2 Hf 2.61
Ga3 0.5000 0.0000 0.0000  2 Hf 2.61
N1 0.5000 0.5000 0.5000  12 Ga 3.70

***

The following is a PBE calculation of a geometry-optimized Ba10Na2Pt3 structure, from the Alexandria database.

Output
As for the density of states at the Fermi level: 10.7 states/eV/f.u. Its formation energy is -38.48 kJ per mole of atoms. As for the total energy: -3.06 eV per atom.

a b c (Å): 15.6270 15.6270 12.2606
angles (deg): 110.75 110.75 33.73
With the nearest neighbours (Å) after each atom.
Fractional coordinates of all 30 atoms:
Ba1 0.0000 0.5000 0.5000  2 Pt 3.16
Ba2 0.0177 0.0177 0.6912  3 Pt 3.18-3.24
Ba3 0.1018 0.6134 0.0472  1 Pt 3.09
Ba4 0.1298 0.1298 0.2480  2 Pt 3.16-3.18
Ba5 0.1389 0.6375 0.4502  2 Pt 3.16-3.17
Ba6 0.2351 0.7649 0.0000  2 Pt 3.17
Ba7 0.2363 0.2363 0.7931  1 Pt 3.08
Ba8 0.3625 0.8611 0.5498  2 Pt 3.16-3.17
Ba9 0.3866 0.8982 0.9528  1 Pt 3.09
Ba10 0.4875 0.4875 0.3151  2 Pt 3.11
Ba11 0.5000 0.0000 0.5000  2 Pt 3.16
Ba12 0.5125 0.5125 0.6849  2 Pt 3.11
Ba13 0.6134 0.1018 0.0472  1 Pt 3.09
Ba14 0.6375 0.1389 0.4502  2 Pt 3.16-3.17
Ba15 0.7637 0.7637 0.2069  1 Pt 3.08
Ba16 0.7649 0.2351 0.0000  2 Pt 3.17
Ba17 0.8611 0.3625 0.5498  2 Pt 3.16-3.17
Ba18 0.8702 0.8702 0.7520  2 Pt 3.16-3.18
Ba19 0.8982 0.3866 0.9528  1 Pt 3.09
Ba20 0.9823 0.9823 0.3088  3 Pt 3.18-3.24
Na1 0.2666 0.2666 0.1916  12 Ba 4.38-4.63
Na2 0.3753 0.3753 0.7576  12 Ba 4.34-4.54
Na3 0.6247 0.6247 0.2424  12 Ba 4.34-4.54
Na4 0.7334 0.7334 0.8084  12 Ba 4.38-4.63
Pt1 0.0736 0.0736 0.9731  6 Ba 3.09-3.24
Pt2 0.1809 0.1809 0.5258  6 Ba 3.08-3.18
Pt3 0.2528 0.7472 0.5000  6 Ba 3.11-3.18
Pt4 0.7472 0.2528 0.5000  6 Ba 3.11-3.18
Pt5 0.8191 0.8191 0.4742  6 Ba 3.08-3.18
Pt6 0.9264 0.9264 0.0269  6 Ba 3.09-3.24

***

The following is a PBE calculation of a geometry-optimized Ce4ThPaN8 structure, from the Alexandria database.

Output
As for the density of states at the Fermi level: 9.7 states/eV/f.u. As for the total energy: -9.03 eV per atom. The value obtained for the uncorrected formation energy is -19.19 eV per formula unit.

a b c (Å): 7.0748 7.0748 7.0748
angles (deg): 59.50 59.50 59.50
With the nearest neighbours (Å) after each atom.
Fractional coordinates of all 14 atoms:
Ce1 0.0000 0.0000 0.0000  4 N 2.35-2.42
Ce2 0.3748 0.3748 0.8781  6 N 2.35-2.47
Ce3 0.3748 0.8781 0.3748  6 N 2.35-2.47
Ce4 0.8781 0.3748 0.3748  6 N 2.35-2.47
Th1 0.3749 0.3749 0.3749  6 N 2.41-2.47
Pa1 0.7504 0.7504 0.7504  4 N 2.21-2.24
N1 0.1342 0.1342 0.5904  3 Ce 2.35-2.36, 1 Th 2.41
N2 0.1342 0.5904 0.1342  3 Ce 2.35-2.36, 1 Th 2.41
N3 0.1361 0.6221 0.6221  1 Pa 2.21, 1 Th 2.47, 2 Ce 2.47
N4 0.1391 0.1391 0.1391  4 Ce 2.35-2.42
N5 0.5904 0.1342 0.1342  3 Ce 2.35-2.36, 1 Th 2.41
N6 0.6221 0.1361 0.6221  1 Pa 2.21, 1 Th 2.47, 2 Ce 2.47
N7 0.6221 0.6221 0.1361  1 Pa 2.21, 1 Th 2.47, 2 Ce 2.47
N8 0.6216 0.6216 0.6216  1 Pa 2.24, 3 Ce 2.46

***

The following is a PBE calculation of a geometry-optimized CoPt3Br structure, from the Alexandria database.

Output
As for the density of states at the Fermi level: 5.2 states/eV/f.u. As for the total energy: -4.31 eV per atom. As for the energy above the most stable polymorph in this dataset: 0 meV per atom. The value obtained for the uncorrected formation energy is 5.36 eV per formula unit.

a b c (Å): 4.6380 4.6380 4.6380
angles (deg): 90.00 90.00 90.00
With the nearest neighbours (Å) after each atom.
Fractional coordinates of all 5 atoms:
Co1 0.0000 0.0000 0.0000  6 Pt 2.32
Pt1 0.0000 0.0000 0.5000  2 Co 2.32
Pt2 0.0000 0.5000 0.0000  2 Co 2.32
Pt3 0.5000 0.0000 0.0000  2 Co 2.32
Br1 0.5000 0.5000 0.5000  12 Pt 3.28

***

The following is a PBE calculation of a geometry-optimized CaDy3Cd2 structure, from the Alexandria database.

Output
As for the density of states at the Fermi level: 6.5 states/eV/f.u. Its formation energy is -12.49 kJ per mole of atoms. As for the total energy: -3.07 eV per atom. As for the energy above the most stable polymorph in this dataset: 66 meV per atom.

a b c (Å): 8.4016 8.4016 9.1315
angles (deg): 116.36 116.36 37.99
With the nearest neighbours (Å) after each atom.
Fractional coordinates of all 12 atoms:
Ca1 0.1374 0.1374 0.1843  5 Cd 3.22-3.43, 3 Dy 3.51-3.53
Ca2 0.8626 0.8626 0.8157  5 Cd 3.22-3.43, 3 Dy 3.51-3.53
Dy1 0.0600 0.0600 0.7144  3 Cd 3.32-3.44, 6 Dy 3.46-3.65, 1 Ca 3.66
Dy2 0.3103 0.3103 0.0040  2 Cd 3.05-3.26, 2 Dy 3.32
Dy3 0.3832 0.3832 0.4553  4 Cd 3.01-3.28
Dy4 0.6168 0.6168 0.5447  4 Cd 3.01-3.28
Dy5 0.6897 0.6897 0.9960  2 Cd 3.05-3.26, 2 Dy 3.32
Dy6 0.9400 0.9400 0.2856  3 Cd 3.32-3.44, 6 Dy 3.46-3.65, 1 Ca 3.66
Cd1 0.2315 0.2315 0.6042  5 Dy 3.19-3.32, 3 Cd 3.39-3.53, 3 Ca 3.40-3.43
Cd2 0.4724 0.4724 0.8279  1 Cd 2.84, 2 Dy 3.01-3.05
Cd3 0.5276 0.5276 0.1721  1 Cd 2.84, 2 Dy 3.01-3.05
Cd4 0.7685 0.7685 0.3958  5 Dy 3.19-3.32, 3 Cd 3.39-3.53, 3 Ca 3.40-3.43

***

The following is a PBE calculation of a geometry-optimized KHoCuBr6 structure, from the Alexandria database.

Output
As for the density of states at the Fermi level: 0.0 states/eV/f.u. As for the total energy: -3.50 eV per atom. The value obtained for the uncorrected formation energy is -11.66 eV per formula unit.

a b c (Å): 6.8924 6.8964 7.3981
angles (deg): 93.39 93.39 113.75
With the nearest neighbours (Å) after each atom.
Fractional coordinates of all 9 atoms:
K1 0.0000 0.0000 0.0000  6 Br 3.34-3.45
Ho1 0.3393 0.6613 0.5001  6 Br 2.70-2.86
Cu1 0.6886 0.3133 0.4995  4 Br 2.46-2.47
Br1 0.0178 0.3452 0.6756  1 Cu 2.47
Br2 0.0273 0.6138 0.2399  1 Ho 2.70
Br3 0.3861 0.9723 0.7607  1 Ho 2.70
Br4 0.4239 0.3526 0.2832  1 Cu 2.46
Br5 0.6482 0.5764 0.7165  1 Cu 2.46
Br6 0.6549 0.9830 0.3242  1 Cu 2.47

***

The following is a PBE calculation of a geometry-optimized Tb5Y2Mg5 structure, from the Alexandria database.

Output
As for the density of states at the Fermi level: 13.1 states/eV/f.u. Its formation energy is -3.43 kJ per mole of atoms. As for the total energy: -3.71 eV per atom.

a b c (Å): 8.7288 8.7288 12.1681
angles (deg): 113.94 113.94 24.01
With the nearest neighbours (Å) after each atom.
Fractional coordinates of all 12 atoms:
Tb1 0.0000 0.0000 0.0000  4 Mg 3.43, 4 Y 3.47, 4 Tb 3.63
Tb2 0.0549 0.0549 0.7424  6 Mg 3.25-3.45, 2 Y 3.52, 3 Tb 3.63
Tb3 0.1660 0.1660 0.5224  4 Mg 3.28-3.37, 3 Y 3.49-3.50, 4 Tb 3.62-3.63
Tb4 0.8340 0.8340 0.4776  4 Mg 3.28-3.37, 3 Y 3.49-3.50, 4 Tb 3.62-3.63
Tb5 0.9451 0.9451 0.2576  6 Mg 3.25-3.45, 2 Y 3.52, 3 Tb 3.63
Y1 0.3784 0.3784 0.7417  3 Mg 3.33-3.57, 7 Tb 3.47-3.52, 2 Y 3.63
Y2 0.6216 0.6216 0.2583  3 Mg 3.33-3.57, 7 Tb 3.47-3.52, 2 Y 3.63
Mg1 0.2730 0.2730 0.2220  3 Mg 3.12-3.22, 4 Tb 3.33-3.37, 2 Y 3.33
Mg2 0.3296 0.3296 0.0002  5 Mg 3.12-3.27, 4 Tb 3.43-3.45
Mg3 0.5000 0.5000 0.5000  8 Tb 3.25-3.28, 2 Mg 3.63
Mg4 0.6704 0.6704 0.9998  5 Mg 3.12-3.27, 4 Tb 3.43-3.45
Mg5 0.7270 0.7270 0.7780  3 Mg 3.12-3.22, 4 Tb 3.33-3.37, 2 Y 3.33

***

The following is a PBE calculation of a geometry-optimized CrAs2Pb structure, from the Alexandria database.

Output
As for the density of states at the Fermi level: 1.9 states/eV/f.u. Its formation energy is 23.85 kJ per mole of atoms. As for the total energy: -5.41 eV per atom.

a b c (Å): 3.2338 3.2338 7.7605
angles (deg): 90.00 90.00 90.00
With the nearest neighbours (Å) after each atom.
Fractional coordinates of all 4 atoms:
Cr1 0.0000 0.0000 0.0000  5 As 2.44-2.56
As1 0.0000 0.0000 0.6696  1 Cr 2.56, 4 As 2.86
As2 0.5000 0.5000 0.8912  4 Cr 2.44
Pb1 0.5000 0.5000 0.2904  1 As 3.10, 4 Cr 3.21, 4 Pb 3.23